The following is a PBE calculation of a relaxed PmCd4Pb crystal, from Alexandria via LeMat-Bulk.

abc: 6.6146 17.9584 5.1262
angles: 90.00 90.00 90.00
Last column: nearest neighbours and their distance in Å.
Space group Cmcm (No. 63)
Asymmetric unit:
Pm: 0.0000 0.1213 0.2500  2 Pb 3.31, 12 Cd 3.33-3.47
Cd: 0.2406 0.0428 0.7500  4 Cd 2.99-3.18, 2 Pm 3.33
Cd: 0.2454 0.2095 0.7500  4 Cd 2.95-3.25
Pb: 0.0000 0.3792 0.7500  2 Pm 3.31, 12 Cd 3.39-3.46

Results
The energy of formation comes out at -0.23 eV per atom.

***

The following is a PBE calculation of a relaxed HoTiPdPt crystal, from Alexandria via LeMat-Bulk.

abc: 6.6663 6.6663 6.6663
angles: 90.00 90.00 90.00
Last column: nearest neighbours and their distance in Å.
Space group F-43m (No. 216)
Asymmetric unit:
Ho: 0.0000 0.0000 0.0000  4 Pd 2.89, 4 Pt 2.89
Ti: 0.0000 0.0000 0.5000  4 Pd 2.89, 4 Pt 2.89
Pd: 0.2500 0.2500 0.2500  4 Ti 2.89, 4 Ho 2.89
Pt: 0.2500 0.2500 0.7500  4 Ho 2.89, 4 Ti 2.89

Results
The energy of formation comes out at -0.77 eV per atom.

***

The following is a PBE calculation of a relaxed CuNiBr2 crystal, from Alexandria via LeMat-Bulk.

abc: 3.4657 3.4657 7.0094
angles: 90.00 90.00 90.00
Last column: nearest neighbours and their distance in Å.
Space group P4mm (No. 99)
Asymmetric unit:
Cu: 0.0000 0.0000 0.0000  1 Br 2.38
Ni: 0.5000 0.5000 0.1682  1 Br 2.41
Br: 0.0000 0.0000 0.3393  1 Cu 2.38
Br: 0.5000 0.5000 0.8239  1 Ni 2.41

Results
As for the uncorrected formation energy: 0.0732 eV per atom.

***

The following is a PBE calculation of a relaxed CdAsCl crystal, from Alexandria via LeMat-Bulk.

abc: 4.7519 6.1671 6.3197
angles: 75.71 87.24 79.59
Last column: nearest neighbours and their distance in Å.
Space group P1 (No. 1)
Asymmetric unit:
Cd: 0.0000 0.0000 0.0000  2 Cl 2.57-2.73, 2 As 2.66-2.69
Cd: 0.4446 0.3580 0.3840  2 As 2.65, 1 Cl 2.74
As: 0.4490 0.1896 0.0366  1 As 2.41, 3 Cd 2.65-2.69
As: 0.5715 0.4827 0.7358  1 As 2.41, 1 Cl 2.42, 1 Cd 2.65
Cl: 0.2015 0.8174 0.6582  1 As 2.42
Cl: 0.9260 0.6085 0.2333  2 Cd 2.57-2.74

Results
As for the uncorrected formation energy: -0.3784 eV per atom.

***

The following is a PBE calculation of a relaxed PrPuAgAu crystal, from Alexandria via LeMat-Bulk.

abc: 7.4279 7.4279 7.4279
angles: 90.00 90.00 90.00
Last column: nearest neighbours and their distance in Å.
Space group F-43m (No. 216)
Asymmetric unit:
Pr: 0.0000 0.0000 0.0000  4 Ag 3.22, 4 Au 3.22
Pu: 0.0000 0.0000 0.5000  4 Au 3.22, 4 Ag 3.22
Ag: 0.2500 0.2500 0.7500  4 Pr 3.22, 4 Pu 3.22
Au: 0.2500 0.2500 0.2500  4 Pr 3.22, 4 Pu 3.22

Results
The energy of formation comes out at -0.30 eV per atom.

***

The following is a PBE calculation of a relaxed CaAl4Pd2Au crystal, from Alexandria via LeMat-Bulk.

abc: 4.3053 4.3053 27.6991
angles: 90.00 90.00 120.00
Last column: nearest neighbours and their distance in Å.
Space group R-3m (No. 166, hexagonal axes)
Asymmetric unit:
Ca: 0.0000 0.0000 0.0000  8 Al 3.17-3.52, 6 Pd 3.49
Al: 0.0000 0.0000 0.1271  3 Pd 2.71, 3 Au 2.72, 3 Al 2.93
Al: 0.0000 0.0000 0.4045  3 Pd 2.53, 1 Au 2.65
Pd: 0.0000 0.0000 0.2451  6 Al 2.53-2.71
Au: 0.0000 0.0000 0.5000  8 Al 2.65-2.72

Results
The energy of formation comes out at -0.56 eV per atom.